# 1
## Sr2ZnNi (PBE)

Data for a relaxed Sr2ZnNi crystal.

Lattice parameters (Å, degrees): 6.2352 6.2352 6.2352 137.69 137.69 61.38
With the nearest neighbours (Å) after each atom.
Fractional coordinates of all 4 atoms:
1 Ni 0.7500 0.2500 0.5000  8 Sr 3.18-3.50, 4 Zn 3.50
2 Sr 0.0000 0.0000 0.0000  4 Zn 3.18, 4 Ni 3.50, 4 Sr 3.50
3 Sr 0.2500 0.7500 0.5000  4 Ni 3.18, 4 Sr 3.50, 4 Zn 3.50
4 Zn 0.5000 0.5000 0.0000  8 Sr 3.18-3.50, 4 Ni 3.50

Calculated volume   108.6 Å³/cell
Total energy   -2.40 eV per atom
Theoretical density   4.6 g cm⁻³
Relative energy among the computed polymorphs   0.383 eV/atom

---

# 2
## Sr2ZnNi (PBE)

Data for a relaxed Sr2ZnNi crystal.

Lattice parameters (Å, degrees): 7.8282 7.8282 7.8282 148.40 148.06 45.54
With the nearest neighbours (Å) after each atom.
Fractional coordinates of all 4 atoms:
1 Ni 0.3408 0.8408 0.5000  2 Zn 2.39
2 Sr 0.9927 0.9927 0.0000  2 Ni 3.07, 4 Zn 3.23
3 Sr 0.7507 0.2507 0.5000  2 Zn 3.21, 4 Ni 3.30
4 Zn 0.4158 0.4158 0.0000  2 Ni 2.39

Calculated volume   132.5 Å³/cell
Total energy   -2.66 eV per atom
Theoretical density   3.8 g cm⁻³
Relative energy among the computed polymorphs   0.128 eV/atom

---

| no. | energy relative to the elements (eV per atom) |
| --- | --- |
| 1 | 0.200 |
| 2 | -0.055 |